! Hf2VFeAs (GGA-PBE, optimized geometry); values from VASP
&SYSTEM
  ibrav = 0, nat = 5, ntyp = 4
/
ATOMIC_SPECIES
As 74.92 As.upf
Hf 178.49 Hf.upf
Fe 55.84 Fe.upf
V 50.94 V.upf
CELL_PARAMETERS angstrom
4.950 0.000 0.000
0.000 4.014 0.000
0.000 0.000 4.950
ATOMIC_POSITIONS crystal
As 0.500 0.500 0.500
Hf 0.000 0.000 0.500
Hf 0.500 0.000 0.000
Fe 0.000 0.500 0.000
V 0.000 0.000 0.000
! Total moment, μB/cell: 0.90
! Energy relative to the elements, eV per atom: 0.643

! Pr3In5 (GGA-PBE, optimized geometry); values from VASP
&SYSTEM
  ibrav = 0, nat = 16, ntyp = 2
/
ATOMIC_SPECIES
Pr 140.91 Pr.upf
In 114.82 In.upf
CELL_PARAMETERS angstrom
6.620 0.006 0.000
-1.336 6.484 0.000
0.000 0.000 10.632
ATOMIC_POSITIONS crystal
Pr 0.630 0.630 0.250
Pr 0.370 0.370 0.750
Pr 0.203 0.797 0.500
Pr 0.203 0.797 0.000
Pr 0.797 0.203 0.500
Pr 0.797 0.203 0.000
In 0.012 0.012 0.250
In 0.988 0.988 0.750
In 0.309 0.309 0.049
In 0.691 0.691 0.951
In 0.309 0.309 0.451
In 0.691 0.691 0.549
In 0.502 0.078 0.250
In 0.922 0.498 0.750
In 0.498 0.922 0.750
In 0.078 0.502 0.250
! Total moment, μB/cell: 0.00
! Relative energy among the computed polymorphs, eV per atom: 0.000
! Energy relative to the elements, eV per atom: -0.522

! Mg6InHg12 (GGA-PBE, optimized geometry); values from VASP
&SYSTEM
  ibrav = 0, nat = 19, ntyp = 3
/
ATOMIC_SPECIES
Mg 24.30 Mg.upf
In 114.82 In.upf
Hg 200.59 Hg.upf
CELL_PARAMETERS angstrom
-4.293 4.979 -5.023
-3.840 0.049 7.328
7.415 3.494 1.123
ATOMIC_POSITIONS crystal
Mg 0.702 0.299 0.299
Mg 0.299 0.299 0.702
Mg 0.299 0.702 0.299
Mg 0.701 0.701 0.298
Mg 0.298 0.701 0.701
Mg 0.701 0.298 0.701
In 0.000 0.000 0.000
Hg 0.886 0.114 0.500
Hg 0.881 0.637 0.637
Hg 0.637 0.637 0.881
Hg 0.363 0.119 0.363
Hg 0.363 0.363 0.119
Hg 0.119 0.363 0.363
Hg 0.114 0.500 0.886
Hg 0.500 0.886 0.114
Hg 0.114 0.886 0.500
Hg 0.886 0.500 0.114
Hg 0.500 0.114 0.886
Hg 0.637 0.881 0.637
! Total moment, μB/cell: 0.00
! Relative energy among the computed polymorphs, eV per atom: 0.006
! Energy relative to the elements, eV per atom: -0.079

! CeDy2 (GGA-PBE, optimized geometry); values from VASP
&SYSTEM
  ibrav = 0, nat = 6, ntyp = 2
/
ATOMIC_SPECIES
Ce 140.12 Ce.upf
Dy 162.50 Dy.upf
CELL_PARAMETERS angstrom
6.594 0.000 0.000
3.297 5.710 0.000
3.297 1.903 5.384
ATOMIC_POSITIONS crystal
Ce 0.000 0.000 0.000
Ce 0.250 0.250 0.250
Dy 0.125 0.625 0.625
Dy 0.625 0.125 0.625
Dy 0.625 0.625 0.625
Dy 0.625 0.625 0.125
! Total moment, μB/cell: 5.76
! Relative energy among the computed polymorphs, eV per atom: 0.322
! Energy relative to the elements, eV per atom: 0.395